8
Lattice="3.352 0.000 0.000 -1.676 2.903 0.000 0.000 0.000 15.736" Properties=species:S:1:pos:R:3 comment="Nb2AgAuS4 | OQMD | GGA-PBE | relaxed" magnetic_moment_mub_per_fu=0.00 crystal_system=trigonal e_tot_ev_per_atom=-6.14 pbc="T T T"
Nb 0.000 1.936 3.968
Nb 1.676 0.968 11.768
Ag 0.000 0.000 0.000
Au 0.000 0.000 7.868
S 0.000 0.000 2.414
S 0.000 0.000 5.520
S 0.000 0.000 10.216
S 0.000 0.000 13.322

12
Lattice="4.753 0.000 0.000 0.000 7.135 0.000 0.000 0.000 8.251" Properties=species:S:1:pos:R:3 comment="NdAgAu | OQMD | GGA-PBE | relaxed" magnetic_moment_mub_per_fu=0.00 crystal_system=orthorhombic ef_kj_per_mol_atoms=-53 e_tot_ev_per_atom=-4.17 pbc="T T T"
Nd 0.000 0.000 0.000
Nd 0.000 3.567 0.590
Nd 2.376 0.000 4.716
Nd 2.376 3.567 4.126
Ag 0.000 1.498 3.056
Ag 0.000 5.636 3.056
Ag 2.376 2.069 7.182
Ag 2.376 5.066 7.182
Au 0.000 2.018 5.776
Au 0.000 5.117 5.776
Au 2.376 1.550 1.651
Au 2.376 5.585 1.651

9
Lattice="3.967 0.000 0.000 0.000 6.704 3.874 0.000 -6.704 3.874" Properties=species:S:1:pos:R:3 comment="Pr2NdZn3AgAu2 | OQMD | GGA-PBE | relaxed" magnetic_moment_mub_per_fu=0.01 crystal_system=orthorhombic ef_kj_per_mol_atoms=-51 e_tot_ev_per_atom=-3.58 pbc="T T T"
Pr 0.000 -3.973 3.874
Pr 0.000 3.973 3.874
Nd 0.000 0.000 4.735
Zn 1.983 -1.699 2.569
Zn 1.983 1.699 2.569
Zn 1.983 0.000 7.350
Ag 0.000 0.000 1.586
Au 1.983 -2.221 5.449
Au 1.983 2.221 5.449